# 1
The following is a GGA-PBE calculation of a relaxed structure of BaSc2Al, from Alexandria via LeMat-Bulk.

Unit cell a=6.003 b=6.563 c=3.315 alpha=75.92 beta=88.85 gamma=116.89
Element x y z (fractional)
Sc 0.000 0.000 0.000
Sc 0.500 0.000 0.500
Al 0.000 0.500 0.500
Ba 0.500 0.500 0.000

Results
**Magnetic moment**: 0.00 μB per cell
**Raw total energy**: -4.295 eV/atom
**Calculated formation energy**: 287.6 meV per atom

=====

# 2
The following is a GGA-PBE calculation of a relaxed structure of NaCaTb2Te4, from Alexandria via LeMat-Bulk.

Unit cell a=4.404 b=7.631 c=7.842 alpha=108.78 beta=90.00 gamma=90.00
Element x y z (fractional)
Na 0.500 0.500 0.000
Tb 0.500 0.000 0.500
Tb 0.000 0.500 0.500
Te 0.500 0.748 0.744
Te 0.000 0.754 0.259
Te 0.500 0.252 0.256
Te 0.000 0.246 0.741
Ca 0.000 0.000 0.000

Results
**Magnetic moment**: 0.00 μB per cell
**Raw total energy**: -4.545 eV/atom
**Raw formation energy**: -1402 meV/atom

=====

# 3
The following is a GGA-PBE calculation of a relaxed structure of SiSb2TeAs, from Alexandria via LeMat-Bulk.

Unit cell a=5.212 b=5.212 c=5.137 alpha=90.00 beta=90.00 gamma=90.00
Element x y z (fractional)
Sb 0.000 0.500 0.000
Sb 0.500 0.000 0.000
Si 0.000 0.000 0.000
Te 0.000 0.000 0.500
As 0.500 0.500 0.500

Results
**Magnetic moment**: 0.00 μB per cell
**Raw total energy**: -3.547 eV/atom
**Raw formation energy**: 745 meV/atom
**Offset from the most stable computed form**: 0 meV per atom

=====

# 4
The following is a GGA-PBE calculation of a relaxed structure of Y2ZnSiGe, from Alexandria via LeMat-Bulk.

Unit cell a=4.203 b=6.283 c=8.533 alpha=92.28 beta=90.00 gamma=90.00
Element x y z (fractional)
Zn 0.250 0.506 0.622
Zn 0.750 0.494 0.378
Y 0.750 0.826 0.641
Y 0.250 0.248 0.893
Y 0.250 0.174 0.359
Y 0.750 0.752 0.107
Si 0.250 0.720 0.373
Si 0.750 0.280 0.627
Ge 0.750 0.242 0.128
Ge 0.250 0.758 0.872

Results
**Magnetic moment**: 0.00 μB per cell
**Raw total energy**: -5.474 eV/atom
**Raw formation energy**: -625 meV/atom

=====

# 5
The following is a GGA-PBE calculation of a relaxed structure of Ac6CoRh2Cl2, from Alexandria via LeMat-Bulk.

Unit cell a=7.478 b=7.478 c=8.090 alpha=98.77 beta=98.77 gamma=120.12
Element x y z (fractional)
Rh 0.670 0.330 0.500
Rh 0.330 0.670 0.500
Ac 0.741 0.741 0.706
Ac 0.071 0.395 0.707
Ac 0.259 0.259 0.294
Ac 0.929 0.605 0.293
Ac 0.395 0.071 0.707
Ac 0.605 0.929 0.293
Co 0.000 0.000 0.500
Cl 0.836 0.164 0.000
Cl 0.164 0.836 0.000

Results
**Magnetic moment**: 0.00 μB per cell
**Raw total energy**: -5.457 eV/atom
**Raw formation energy**: -897 meV/atom

=====

# 6
The following is a GGA-PBE calculation of a relaxed structure of NdAlPRh6, from Alexandria via LeMat-Bulk.

Unit cell a=6.017 b=9.148 c=7.876 alpha=125.50 beta=112.46 gamma=90.00
Element x y z (fractional)
Rh 0.100 0.355 0.737
Rh 0.440 0.690 0.880
Rh 0.637 0.882 0.737
Rh 0.921 0.171 0.842
Rh 0.363 0.645 0.263
Rh 0.363 0.118 0.263
Rh 0.100 0.882 0.737
Rh 0.900 0.118 0.263
Rh 0.637 0.355 0.737
Rh 0.900 0.645 0.263
Rh 0.560 0.310 0.120
Rh 0.079 0.829 0.158
P 0.500 0.000 0.000
P 0.500 0.500 0.000
Nd 0.183 0.433 0.366
Nd 0.817 0.567 0.634
Al 0.500 0.000 0.500
Al 0.000 0.000 0.500

Results
**Magnetic moment**: 0.00 μB per cell
**Raw total energy**: -6.770 eV/atom
**Calculated formation energy**: -322.5 meV per atom

=====

The evaluated DOS at the Fermi energy for the records listed, in turn: 5.68, 2.66, 4.08, 1.19, 6.69, 7.54 states/eV/f.u..